No. 1
Zn2Ga5Ag12: relaxed, PBE.

Cell: 13.742 5.695 9.471 Å, 90.00 94.65 90.00°
Space group C2/m (No. 12)
Inequivalent atoms, fractional coordinates:
Zn (0.000, 0.244, 0.000) (multiplicity 4)
Ga (0.000, 0.500, 0.500) (multiplicity 2)
Ga (0.147, 0.000, 0.890) (multiplicity 4)
Ga (0.202, 0.000, 0.417) (multiplicity 4)
Ag (0.022, 0.500, 0.233) (multiplicity 4)
Ag (0.031, 0.000, 0.269) (multiplicity 4)
Ag (0.142, 0.249, 0.641) (multiplicity 8)
Ag (0.191, 0.249, 0.138) (multiplicity 8)

As for the energy relative to the elements: 0.10 eV/atom. The value obtained for the energy above the most stable polymorph in this dataset is 0.088 eV per atom.

=====

No. 2
Li6Cd2AuN: relaxed, PBE.

Cell: 5.644 6.021 6.021 Å, 71.53 70.76 68.63°
Space group P-1 (No. 2)
Inequivalent atoms, fractional coordinates:
Li (0.178, 0.359, 0.257) (multiplicity 2)
Li (0.222, 0.238, 0.841) (multiplicity 2)
Li (0.250, 0.684, 0.829) (multiplicity 2)
Cd (0.211, 0.831, 0.306) (multiplicity 2)
Au (0.500, 0.000, 0.500) (multiplicity 1)
N (0.000, 0.500, 0.000) (multiplicity 1)

The formation energy without anion corrections is -0.274 eV per atom.

=====

No. 3
Y2ZnNi4Sn3: relaxed, PBE.

Cell: 4.262 4.262 10.331 Å, 90.00 90.00 90.00°
Space group P-4m2 (No. 115)
Inequivalent atoms, fractional coordinates:
Y (0.000, 0.500, 0.248) (multiplicity 2)
Zn (0.500, 0.500, 0.000) (multiplicity 1)
Ni (0.000, 0.000, 0.500) (multiplicity 1)
Ni (0.000, 0.500, 0.871) (multiplicity 2)
Ni (0.500, 0.500, 0.500) (multiplicity 1)
Sn (0.000, 0.000, 0.000) (multiplicity 1)
Sn (0.000, 0.500, 0.632) (multiplicity 2)

As for the energy relative to the elements: -0.47 eV/atom.

=====

No. 4
ScCd2Ir2: relaxed, PBE.

Cell: 6.803 6.803 4.179 Å, 90.00 90.00 90.00°
Space group P4/mbm (No. 127)
Inequivalent atoms, fractional coordinates:
Sc (0.000, 0.000, 0.000) (multiplicity 2)
Cd (0.168, 0.332, 0.500) (multiplicity 4)
Ir (0.132, 0.632, 0.000) (multiplicity 4)

As for the energy relative to the elements: -0.17 eV/atom.

=====

No. 5
Pr2YAu: relaxed, PBE.

Cell: 3.775 3.775 8.575 Å, 90.00 90.00 90.00°
Space group P4/mmm (No. 123)
Inequivalent atoms, fractional coordinates:
Pr (0.000, 0.000, 0.211) (multiplicity 2)
Y (0.500, 0.500, 0.500) (multiplicity 1)
Au (0.500, 0.500, 0.000) (multiplicity 1)

As for the energy relative to the elements: -0.34 eV/atom. The value obtained for the energy above the most stable polymorph in this dataset is 0.066 eV per atom.

=====

No. 6
AlAu: relaxed, PBE.

Cell: 4.3134 4.3134 14.0734 Å, 90.00 90.00 120.00°
Space group R-3m (No. 166, hexagonal axes)
Inequivalent atoms, fractional coordinates:
Al (0.0000, 0.0000, 0.1024) (multiplicity 6)
Au (0.0000, 0.0000, 0.2839) (multiplicity 6)

As for the energy relative to the elements: -0.34 eV/atom.

=====

No. 7
Y2Zn5Ag: relaxed, PBE.

Cell: 4.289 16.234 8.974 Å, 90.00 90.00 90.00°
Space group Cmcm (No. 63)
Inequivalent atoms, fractional coordinates:
Y (0.000, 0.000, 0.000) (multiplicity 4)
Y (0.000, 0.197, 0.250) (multiplicity 4)
Zn (0.000, 0.189, 0.607) (multiplicity 8)
Zn (0.000, 0.349, 0.522) (multiplicity 8)
Zn (0.000, 0.392, 0.250) (multiplicity 4)
Ag (0.000, 0.450, 0.750) (multiplicity 4)

As for the energy relative to the elements: -0.32 eV/atom.

=====

No. 8
Ho4Al12Co: relaxed, PBE.

Cell: 8.561 8.561 8.561 Å, 90.00 90.00 90.00°
Space group Im-3m (No. 229)
Inequivalent atoms, fractional coordinates:
Ho (0.250, 0.250, 0.250) (multiplicity 8)
Al (0.000, 0.000, 0.278) (multiplicity 12)
Al (0.000, 0.250, 0.500) (multiplicity 12)
Co (0.000, 0.000, 0.000) (multiplicity 2)

As for the energy relative to the elements: -0.47 eV/atom.

=====

No. 9
Sm8PtPb2: relaxed, PBE.

Cell: 19.791 5.067 6.937 Å, 90.00 104.09 90.00°
Space group C2/m (No. 12)
Inequivalent atoms, fractional coordinates:
Sm (0.016, 0.000, 0.281) (multiplicity 4)
Sm (0.091, 0.500, 0.970) (multiplicity 4)
Sm (0.146, 0.500, 0.508) (multiplicity 4)
Sm (0.216, 0.000, 0.829) (multiplicity 4)
Pt (0.000, 0.500, 0.500) (multiplicity 2)
Pb (0.182, 0.000, 0.265) (multiplicity 4)

As for the energy relative to the elements: -0.41 eV/atom.

=====

No. 10
GaAgI6: relaxed, PBE.

Cell: 7.189 7.336 7.908 Å, 75.09 66.59 87.37°
Space group P-1 (No. 2)
Inequivalent atoms, fractional coordinates:
Ga (0.000, 0.000, 0.000) (multiplicity 1)
Ag (0.500, 0.500, 0.000) (multiplicity 1)
I (0.048, 0.122, 0.595) (multiplicity 2)
I (0.205, 0.338, 0.847) (multiplicity 2)
I (0.389, 0.840, 0.854) (multiplicity 2)

The formation energy without anion corrections is -0.144 eV per atom. The value obtained for the energy above the most stable polymorph in this dataset is 0.000 eV per atom.

=====

No. 11
Pr2ThTe2As2: relaxed, PBE.

Cell: 5.555 5.555 15.922 Å, 90.00 90.00 90.00°
Space group I4/mmm (No. 139)
Inequivalent atoms, fractional coordinates:
Pr (0.000, 0.000, 0.114) (multiplicity 4)
Th (0.000, 0.000, 0.500) (multiplicity 2)
Te (0.000, 0.000, 0.307) (multiplicity 4)
As (0.000, 0.500, 0.000) (multiplicity 4)

The formation energy without anion corrections is -1.012 eV per atom.